This record from Alexandria describes a geometry-optimized La8Pt2Au structure. The functional is PBE.

abc: 6.3616 8.0585 8.0585
angles: 115.23 99.66 99.66
Last column: nearest neighbours and their distance in Å.
Positions (direct):
La: 0.5972 0.3518 0.0920  2 Pt 2.87-2.96
La: 0.9790 0.7769 0.2075  1 Au 3.15, 2 Pt 3.34-3.47, 2 La 3.50-3.53
La: 0.3539 0.6470 0.9106  2 Pt 2.90-3.02, 1 Au 3.20
Pt: 0.4957 0.7023 0.3111  4 La 2.87-3.02
La: 0.1852 0.3802 0.3802  1 Au 3.13, 2 Pt 3.29
La: 0.7928 0.6403 0.6403  2 Pt 3.26, 1 Au 3.37
La: 0.5972 0.0920 0.3518  2 Pt 2.87-2.96
La: 0.3539 0.9106 0.6470  2 Pt 2.90-3.02, 1 Au 3.20
La: 0.9790 0.2075 0.7769  1 Au 3.15, 2 Pt 3.34-3.47, 2 La 3.50-3.53
Au: 0.1700 0.0143 0.0143  8 La 3.13-3.37
Pt: 0.4957 0.3111 0.7023  4 La 2.87-3.02

Calculated values
The formation energy comes out at -489.9 meV/atom.

This record from Alexandria describes a geometry-optimized Al2ZnHg2 structure. The functional is PBE.

abc: 7.9676 7.9676 3.3454
angles: 90.00 90.00 90.00
Last column: nearest neighbours and their distance in Å.
Positions (direct):
Hg: 0.1828 0.3172 0.0000  6 Al 2.78-2.98, 2 Zn 2.92
Al: 0.6197 0.8803 0.5000  1 Al 2.70, 6 Hg 2.78-2.98
Al: 0.1197 0.6197 0.5000  1 Al 2.70, 6 Hg 2.78-2.98
Hg: 0.6828 0.1828 0.0000  6 Al 2.78-2.98, 2 Zn 2.92
Al: 0.8803 0.3803 0.5000  1 Al 2.70, 6 Hg 2.78-2.98
Al: 0.3803 0.1197 0.5000  1 Al 2.70, 6 Hg 2.78-2.98
Hg: 0.8172 0.6828 0.0000  6 Al 2.78-2.98, 2 Zn 2.92
Zn: 0.0000 0.0000 0.0000  4 Hg 2.92
Zn: 0.5000 0.5000 0.0000  4 Hg 2.92
Hg: 0.3172 0.8172 0.0000  6 Al 2.78-2.98, 2 Zn 2.92

Calculated values
The formation energy comes out at 239.2 meV/atom.

This record from Alexandria describes a geometry-optimized Ti3BiSe structure. The functional is PBE.

abc: 6.0747 6.0468 7.2423
angles: 66.97 65.18 59.84
Last column: nearest neighbours and their distance in Å.
Positions (direct):
Se: 0.0023 0.2976 0.6154  6 Ti 2.52-2.66
Ti: 0.0925 0.5027 0.2297  2 Se 2.52-2.55, 1 Ti 2.79
Ti: 0.1521 0.7956 0.8178  2 Se 2.57-2.66, 3 Ti 2.77-2.79
Ti: 0.1169 0.3228 0.9057  2 Se 2.55-2.58, 2 Ti 2.77
Bi: 0.6212 0.8256 0.8495  8 Ti 3.04-3.09
Bi: 0.4783 0.5341 0.4271  7 Ti 2.97-3.32
Ti: 0.9844 0.0228 0.4362  2 Se 2.52-2.54
Se: 0.8889 0.0029 0.1371  6 Ti 2.52-2.58
Ti: 0.5721 0.3228 0.9060  2 Se 2.55-2.58, 2 Ti 2.77-2.78
Ti: 0.4745 0.0227 0.4363  2 Se 2.52-2.54

Calculated values
The raw formation energy is -368.2 meV/atom.